No. 1
# HgRh2

Crystalline HgRh2 at its relaxed geometry (PBE-GGA, Alexandria via LeMat-Bulk).

a = 2.8806 Å, b = 2.8806 Å, c = 6.8291 Å
α = 90.00°, β = 90.00°, γ = 120.00°
Space group P-3m1 (No. 164)
Symmetry-distinct sites (fractional):
Hg1 0.0000 0.0000 0.0000 (multiplicity 1)
Rh1 0.3333 0.6667 0.6501 (multiplicity 2)

Results
* total DFT energy (no corrections): -4.772 eV/atom



No. 2
# PmPrSmSn

Crystalline PmPrSmSn at its relaxed geometry (PBE-GGA, Alexandria via LeMat-Bulk).

a = 7.8653 Å, b = 7.8653 Å, c = 7.8653 Å
α = 90.00°, β = 90.00°, γ = 90.00°
Space group F-43m (No. 216)
Symmetry-distinct sites (fractional):
Pm1 0.0000 0.0000 0.0000 (multiplicity 4)
Pr1 0.2500 0.2500 0.7500 (multiplicity 4)
Sm1 0.2500 0.2500 0.2500 (multiplicity 4)
Sn1 0.0000 0.0000 0.5000 (multiplicity 4)

Results
* total DFT energy (no corrections): -4.816 eV/atom